Entry from the Alexandria database: a relaxed YTlSi2O6 crystal (PBE).

## Properties
**Symmetry**: C2/c
**Fermi-level density of states**: 0.0 states/eV/f.u.
**Raw formation energy**: -2.678 eV/atom

abc: 7.232 7.232 5.501
angles: 98.59 98.59 87.87
Atoms (fractional coordinates):
1 Tl 0.818 0.182 0.750
2 Tl 0.182 0.818 0.250
3 O 0.157 0.173 0.534
4 O 0.622 0.073 0.251
5 O 0.843 0.827 0.466
6 O 0.827 0.843 0.966
7 O 0.927 0.378 0.249
8 O 0.316 0.443 0.365
9 O 0.073 0.622 0.751
10 O 0.443 0.316 0.865
11 O 0.173 0.157 0.034
12 O 0.684 0.557 0.635
13 O 0.557 0.684 0.135
14 O 0.378 0.927 0.749
15 Y 0.382 0.618 0.750
16 Y 0.618 0.382 0.250
17 Si 0.300 0.139 0.798
18 Si 0.861 0.700 0.702
19 Si 0.700 0.861 0.202
20 Si 0.139 0.300 0.298